The following is a DFT calculation (GGA-PBE) of a relaxed structure of Cd2AgSe.

The structure belongs to space group P4/mmm (No. 123); the cell edges are 3.220, 3.220 and 8.215 Å and the angles 90.00°, 90.00° and 90.00°. The inequivalent atoms are Cd at (0.000, 0.000, 0.240), Ag at (0.500, 0.500, 0.000) and Se at (0.500, 0.500, 0.500).

The calculation puts the raw formation energy at 0.05 eV/atom. The value obtained for the calculated density is 8.0 g/cm³. The final energy comes out at -1.99 eV per atom.